No. 1
Density functional theory data (GGA-PBE) for an optimized crystal structure of Ce5Sc.

Symmetry ... P4/mmm, No. 123
DFT formation energy ... 0.03 eV per atom

Unit cell a=3.326 b=3.326 c=14.182 alpha=90.00 beta=90.00 gamma=90.00
Sites, in units of the cell vectors:
Ce1 0.000 0.000 0.000
Ce2 0.000 0.000 0.330
Ce3 0.000 0.000 0.670
Ce4 0.500 0.500 0.166
Ce5 0.500 0.500 0.834
Sc1 0.500 0.500 0.500

No. 2
Density functional theory data (GGA-PBE) for an optimized crystal structure of Ce3Sc2.

Symmetry ... R-3c, No. 167
DFT formation energy ... 0.32 eV per atom
Excess energy over the best structure of this formula in the dataset ... 0.279 eV per atom

Unit cell a=9.182 b=9.182 c=9.182 alpha=39.58 beta=39.58 gamma=39.58
Sites, in units of the cell vectors:
Ce1 0.221 0.750 0.279
Ce2 0.250 0.721 0.779
Ce3 0.279 0.221 0.750
Ce4 0.721 0.779 0.250
Ce5 0.750 0.279 0.221
Ce6 0.779 0.250 0.721
Sc1 0.190 0.190 0.190
Sc2 0.310 0.310 0.310
Sc3 0.690 0.690 0.690
Sc4 0.810 0.810 0.810

No. 3
Density functional theory data (GGA-PBE) for an optimized crystal structure of CeSc4Se6.

Symmetry ... Cmcm, No. 63
E_form (uncorrected) ... -1705.7 meV per atom

Unit cell a=6.681 b=6.681 c=19.892 alpha=90.00 beta=90.00 gamma=145.95
Sites, in units of the cell vectors:
Ce1 0.156 0.844 0.750
Ce2 0.844 0.156 0.250
Sc1 0.093 0.907 0.124
Sc2 0.093 0.907 0.376
Sc3 0.357 0.643 0.038
Sc4 0.357 0.643 0.462
Sc5 0.643 0.357 0.538
Sc6 0.643 0.357 0.962
Sc7 0.907 0.093 0.624
Sc8 0.907 0.093 0.876
Se1 0.000 0.000 0.000
Se2 0.000 0.000 0.500
Se3 0.173 0.827 0.250
Se4 0.267 0.733 0.589
Se5 0.267 0.733 0.911
Se6 0.456 0.544 0.160
Se7 0.456 0.544 0.340
Se8 0.544 0.456 0.660
Se9 0.544 0.456 0.840
Se10 0.733 0.267 0.089
Se11 0.733 0.267 0.411
Se12 0.827 0.173 0.750

No. 4
Density functional theory data (GGA-PBE) for an optimized crystal structure of CeScSe2.

Symmetry ... R3m, No. 160
E_form (uncorrected) ... -1663.1 meV per atom
Excess energy over the best structure of this formula in the dataset ... 0.039 eV per atom

Unit cell a=7.441 b=7.441 c=7.441 alpha=30.53 beta=30.53 gamma=30.53
Sites, in units of the cell vectors:
Ce1 0.000 0.000 0.000
Sc1 0.826 0.826 0.826
Se1 0.237 0.237 0.237
Se2 0.423 0.423 0.423

Going through the records in order, we get DOS(E_F) values of 13.92; 31.23; 20.92; 7.00 states/eV per cell.